Record 1
Material: Cu2Ag7Pd2
Method: DFT, PBE
State: optimized geometry

Cell: 6.826 5.306 5.306 Å, 93.52 81.21 81.21°
Atoms (fractional coordinates):
Ag 0.796 0.545 0.923
Ag 0.000 0.000 0.000
Ag 0.796 0.923 0.545
Ag 0.420 0.843 0.843
Ag 0.204 0.455 0.077
Ag 0.580 0.157 0.157
Ag 0.204 0.077 0.455
Cu 0.500 0.671 0.329
Cu 0.500 0.329 0.671
Pd 0.844 0.404 0.404
Pd 0.156 0.596 0.596

Computed properties:
Crystal system: monoclinic
Calculated formation energy (eV/atom): 0.052

=====

Record 2
Material: Sb2HI
Method: DFT, PBE
State: optimized geometry

Cell: 5.235 5.235 5.235 Å, 60.00 60.00 60.00°
Atoms (fractional coordinates):
Sb 0.250 0.250 0.250
Sb 0.750 0.750 0.750
H 0.000 0.000 0.000
I 0.500 0.500 0.500

Computed properties:
Crystal system: cubic
Polymorph energy (0 for the lowest one) (eV per formula unit): 1.58

=====

Record 3
Material: ZnMo3
Method: DFT, PBE
State: optimized geometry

Cell: 4.546 4.965 5.477 Å, 90.00 90.00 90.00°
Atoms (fractional coordinates):
Mo 0.500 0.159 0.263
Mo 0.500 0.159 0.737
Mo 0.000 0.841 0.237
Mo 0.000 0.841 0.763
Mo 0.500 0.651 0.000
Mo 0.000 0.349 0.500
Zn 0.500 0.662 0.500
Zn 0.000 0.338 0.000

Computed properties:
Crystal system: orthorhombic
Calculated formation energy (eV/atom): 0.204
Polymorph energy (0 for the lowest one) (eV per formula unit): 0.69

=====

| no. | calculated total energy (eV per cell) |
| --- | --- |
| 1 | -37.96 |
| 2 | -9.56 |
| 3 | -65.90 |